The following is a GGA-PBE calculation of a relaxed KTlN3 crystal, from Alexandria.

Cell lengths 4.513, 4.513, 4.513 Å; angles 90.00, 90.00, 90.00 degrees
Space group Pm-3m (No. 221)
Asymmetric unit:
1 K 0.000 0.000 0.000
2 Tl 0.500 0.500 0.500
3 N 0.000 0.500 0.500

Values from the calculation:
Formation energy without anion corrections = 1.902 eV/atom
Crystal system = cubic
E_tot = -18.9 eV/f.u.
Magnetization = 0.92 μB per atom